<a>
A plane-wave DFT calculation with PBE-GGA was carried out for an optimized crystal structure of La6Pr3Nd2.

Summary:
Total moment: 0.000 μB/f.u.
D(E_F): 1.987 states/eV/atom

a = 6.4691 Å, b = 8.2899 Å, c = 15.3287 Å
α = 49.39°, β = 60.29°, γ = 96.98°
Fractional coordinates of all 11 atoms:
Nd1 0.3641 0.5444 0.9095
Nd2 0.6359 0.4556 0.0905
La1 0.7266 0.0898 0.8194
La2 0.2734 0.9102 0.1806
La3 0.8190 0.7274 0.5455
La4 0.1810 0.2726 0.4545
La5 0.0912 0.6379 0.7277
La6 0.9088 0.3621 0.2723
Pr1 0.4547 0.1801 0.6370
Pr2 0.0000 0.0000 0.0000
Pr3 0.5453 0.8199 0.3630


<b>
A plane-wave DFT calculation with PBE-GGA was carried out for an optimized crystal structure of La6Pr3Nd2.

Summary:
Total moment: 0.000 μB/f.u.
D(E_F): 1.770 states/eV/atom

a = 4.8340 Å, b = 4.8340 Å, c = 17.8898 Å
α = 97.76°, β = 97.76°, γ = 90.00°
Fractional coordinates of all 11 atoms:
La1 0.1178 0.6178 0.2357
La2 0.8822 0.3822 0.7643
La3 0.6178 0.1178 0.2357
La4 0.2891 0.2891 0.5782
La5 0.3822 0.8822 0.7643
La6 0.7109 0.7109 0.4218
Pr1 0.0000 0.0000 0.0000
Pr2 0.8098 0.8098 0.6197
Pr3 0.1902 0.1902 0.3803
Nd1 0.5443 0.5443 0.0885
Nd2 0.4557 0.4557 0.9115


It is <a> that is the most stable of them.


<a>
A plane-wave DFT calculation with PBE-GGA was carried out for an optimized crystal structure of La2PrNd3.

Summary:
Total moment: 0.257 μB/f.u.
D(E_F): 1.694 states/eV/atom

a = 11.5678 Å, b = 9.0917 Å, c = 9.0917 Å
α = 45.82°, β = 50.49°, γ = 50.49°
Fractional coordinates of all 12 atoms:
La1 0.9569 0.2882 0.2882
La2 0.0431 0.7118 0.7118
La3 0.5332 0.2118 0.2118
La4 0.4668 0.7882 0.7882
Nd1 0.5000 0.2500 0.7500
Nd2 0.7630 0.4870 0.9870
Nd3 0.2370 0.0130 0.5130
Nd4 0.7630 0.9870 0.4870
Nd5 0.2370 0.5130 0.0130
Nd6 0.5000 0.7500 0.2500
Pr1 0.0000 0.5000 0.5000
Pr2 0.0000 0.0000 0.0000


<b>
A plane-wave DFT calculation with PBE-GGA was carried out for an optimized crystal structure of La2PrNd3.

Summary:
Total moment: 0.000 μB/f.u.
D(E_F): 1.663 states/eV/atom

a = 7.2281 Å, b = 9.5190 Å, c = 9.5190 Å
α = 41.61°, β = 90.00°, γ = 90.00°
Fractional coordinates of all 12 atoms:
La1 0.0000 0.8468 0.8468
La2 0.5000 0.8468 0.8468
La3 0.5000 0.1532 0.1532
La4 0.0000 0.1532 0.1532
Nd1 0.2500 0.6739 0.6779
Nd2 0.2500 0.3221 0.3261
Nd3 0.2500 0.2457 0.7543
Nd4 0.7500 0.3261 0.3221
Nd5 0.7500 0.7543 0.2457
Nd6 0.7500 0.6779 0.6739
Pr1 0.2500 0.7454 0.2546
Pr2 0.7500 0.2546 0.7454


It is <b> that is the most stable of them.


<a>
A plane-wave DFT calculation with PBE-GGA was carried out for an optimized crystal structure of La2Pr3Nd4.

Summary:
Total moment: 0.001 μB/f.u.
D(E_F): 1.852 states/eV/atom

a = 3.6956 Å, b = 3.6956 Å, c = 27.7362 Å
α = 90.00°, β = 90.00°, γ = 120.00°
Fractional coordinates of all 9 atoms:
Pr1 0.6667 0.3333 0.6522
Pr2 0.0000 0.0000 0.9840
Pr3 0.0000 0.0000 0.3227
La1 0.6667 0.3333 0.8706
La2 0.6667 0.3333 0.0923
Nd1 0.0000 0.0000 0.7609
Nd2 0.6667 0.3333 0.4352
Nd3 0.6667 0.3333 0.2172
Nd4 0.0000 0.0000 0.5420


<b>
A plane-wave DFT calculation with PBE-GGA was carried out for an optimized crystal structure of La2Pr3Nd4.

Summary:
Total moment: 0.000 μB/f.u.
D(E_F): 1.855 states/eV/atom

a = 5.2547 Å, b = 6.4290 Å, c = 11.1306 Å
α = 73.26°, β = 89.98°, γ = 65.92°
Fractional coordinates of all 9 atoms:
Pr1 0.3330 0.3340 0.4431
Pr2 0.6670 0.6660 0.5569
Pr3 0.0000 0.0000 0.0000
Nd1 0.6663 0.6674 0.8883
Nd2 0.0009 0.9983 0.3341
Nd3 0.3337 0.3326 0.1117
Nd4 0.9991 0.0017 0.6659
La1 0.3334 0.3331 0.7786
La2 0.6666 0.6669 0.2214


It is <b> that is the most stable of them.


<a>
A plane-wave DFT calculation with PBE-GGA was carried out for an optimized crystal structure of La9PrNd2.

Summary:
Total moment: 0.000 μB/f.u.
D(E_F): 1.544 states/eV/atom

a = 3.6604 Å, b = 11.7513 Å, c = 11.7513 Å
α = 120.00°, β = 90.00°, γ = 90.00°
Fractional coordinates of all 12 atoms:
La1 0.5000 0.1732 0.3463
La2 0.5000 0.8268 0.1732
La3 0.5000 0.8268 0.6537
La4 0.5000 0.1732 0.8268
La5 0.0000 0.0000 0.5000
La6 0.5000 0.3463 0.1732
La7 0.0000 0.5000 0.5000
La8 0.5000 0.6537 0.8268
La9 0.0000 0.5000 0.0000
Pr1 0.0000 0.0000 0.0000
Nd1 0.0000 0.6667 0.3333
Nd2 0.0000 0.3333 0.6667


<b>
A plane-wave DFT calculation with PBE-GGA was carried out for an optimized crystal structure of La9PrNd2.

Summary:
Total moment: 0.000 μB/f.u.
D(E_F): 1.595 states/eV/atom

a = 5.2473 Å, b = 5.2473 Å, c = 15.7416 Å
α = 90.00°, β = 90.00°, γ = 90.00°
Fractional coordinates of all 12 atoms:
Nd1 0.0000 0.0000 0.3335
Nd2 0.0000 0.0000 0.6665
La1 0.5000 0.0000 0.5000
La2 0.0000 0.5000 0.1670
La3 0.5000 0.5000 0.0000
La4 0.5000 0.0000 0.8330
La5 0.5000 0.5000 0.6665
La6 0.0000 0.5000 0.5000
La7 0.5000 0.5000 0.3335
La8 0.5000 0.0000 0.1670
La9 0.0000 0.5000 0.8330
Pr1 0.0000 0.0000 0.0000


It is <b> that is the most stable of them.


<a>
A plane-wave DFT calculation with PBE-GGA was carried out for an optimized crystal structure of LaPr12Nd7.

Summary:
Total moment: 0.000 μB/f.u.
D(E_F): 1.571 states/eV/atom

a = 10.4701 Å, b = 10.4701 Å, c = 10.4701 Å
α = 113.23°, β = 113.23°, γ = 113.23°
Fractional coordinates of all 20 atoms:
Pr1 0.4999 0.2138 0.7862
Pr2 0.7862 0.2138 0.5001
Pr3 0.7862 0.4999 0.2138
Pr4 0.9635 0.6458 0.6458
Pr5 0.6458 0.6458 0.9635
Pr6 0.3542 0.0365 0.3542
Pr7 0.3542 0.3542 0.0365
Pr8 0.5001 0.7862 0.2138
Pr9 0.2138 0.7862 0.4999
Pr10 0.6458 0.9635 0.6458
Pr11 0.2138 0.5001 0.7862
Pr12 0.0365 0.3542 0.3542
La1 0.0000 0.0000 0.0000
Nd1 0.0698 0.4121 0.0698
Nd2 0.5000 0.5000 0.5000
Nd3 0.4121 0.0698 0.0698
Nd4 0.0698 0.0698 0.4121
Nd5 0.5879 0.9302 0.9302
Nd6 0.9302 0.5879 0.9302
Nd7 0.9302 0.9302 0.5879


<b>
A plane-wave DFT calculation with PBE-GGA was carried out for an optimized crystal structure of LaPr12Nd7.

Summary:
Total moment: 0.000 μB/f.u.
D(E_F): 1.408 states/eV/atom

a = 10.2087 Å, b = 10.2087 Å, c = 10.2087 Å
α = 109.47°, β = 109.47°, γ = 109.47°
Fractional coordinates of all 20 atoms:
Pr1 0.0021 0.7491 0.2531
Pr2 0.7469 0.9979 0.2509
Pr3 0.2509 0.7469 0.9979
Pr4 0.9979 0.2509 0.7469
Pr5 0.2509 0.2531 0.5040
Pr6 0.7469 0.4960 0.7491
Pr7 0.5040 0.2509 0.2531
Pr8 0.4960 0.7491 0.7469
Pr9 0.7491 0.2531 0.0021
Pr10 0.2531 0.5040 0.2509
Pr11 0.2531 0.0021 0.7491
Pr12 0.7491 0.7469 0.4960
La1 0.0000 0.0000 0.0000
Nd1 0.5000 0.0000 0.5000
Nd2 0.5000 0.0000 0.0000
Nd3 0.5000 0.5000 0.0000
Nd4 0.0000 0.5000 0.5000
Nd5 0.0000 0.0000 0.5000
Nd6 0.5000 0.5000 0.5000
Nd7 0.0000 0.5000 0.0000


It is <a> that is the most stable of them.